Compound: PrNi8Ir2
Source: Alexandria
Functional: PBE-GGA
Structure: relaxed

Cell lengths 4.711, 4.711, 8.411 Å; angles 90.00, 90.00, 90.00 degrees
Space group P4/mmm (No. 123)
Symmetry-distinct sites (fractional):
Pr  0.000  0.000  0.000 (multiplicity 1)
Ni  0.251  0.251  0.284 (multiplicity 8)
Ir  0.000  0.500  0.500 (multiplicity 2)

Results
Its total energy is -5.761 eV/atom. Its crystal system is tetragonal. The value obtained for the magnetization is 0.75 μB per formula unit. The calculation puts the formation energy at 0.489 eV per atom.

***

Compound: Pr8NiIr2
Source: Alexandria
Functional: PBE-GGA
Structure: relaxed

Cell lengths 8.717, 12.508, 6.522 Å; angles 90.00, 109.96, 90.00 degrees
Space group Cm (No. 8)
Symmetry-distinct sites (fractional):
Pr  0.000  0.000  0.000 (multiplicity 2)
Pr  0.073  0.365  0.821 (multiplicity 4)
Pr  0.142  0.135  0.566 (multiplicity 4)
Pr  0.216  0.500  0.406 (multiplicity 2)
Pr  0.354  0.194  0.199 (multiplicity 4)
Ni  0.365  0.000  0.418 (multiplicity 2)
Ir  0.360  0.315  0.704 (multiplicity 4)

Results
Its total energy is -5.851 eV/atom. Its crystal system is monoclinic. The value obtained for the magnetization is 0.00 μB per formula unit. The calculation puts the formation energy at -0.239 eV per atom.

***

Compound: Pr3Ni4Ir2
Source: Alexandria
Functional: PBE-GGA
Structure: relaxed

Cell lengths 10.835, 4.129, 8.184 Å; angles 90.00, 100.87, 90.00 degrees
Space group C2/m (No. 12)
Symmetry-distinct sites (fractional):
Pr  0.000  0.000  0.000 (multiplicity 2)
Pr  0.168  0.500  0.666 (multiplicity 4)
Ni  0.054  0.000  0.391 (multiplicity 4)
Ni  0.224  0.500  0.052 (multiplicity 4)
Ir  0.111  0.500  0.277 (multiplicity 4)

Results
Its total energy is -6.553 eV/atom. The energy above the lowest structure with this stoichiometry comes out at 0.000 eV per atom. Its crystal system is monoclinic. The value obtained for the magnetization is 0.00 μB per formula unit. The calculation puts the formation energy at -0.421 eV per atom.

***

Compound: Pr2NiIr
Source: Alexandria
Functional: PBE-GGA
Structure: relaxed

Cell lengths 4.986, 4.986, 3.612 Å; angles 90.00, 90.00, 90.00 degrees
Space group P4/mmm (No. 123)
Symmetry-distinct sites (fractional):
Pr  0.000  0.500  0.000 (multiplicity 2)
Ni  0.000  0.000  0.500 (multiplicity 1)
Ir  0.500  0.500  0.500 (multiplicity 1)

Results
Its total energy is -6.429 eV/atom. Its crystal system is tetragonal. The value obtained for the magnetization is 0.00 μB per formula unit. The calculation puts the formation energy at -0.379 eV per atom.

***

Compound: Pr2Ni9Ir
Source: Alexandria
Functional: PBE-GGA
Structure: relaxed

Cell lengths 4.9304, 4.9304, 24.5080 Å; angles 90.00, 90.00, 120.00 degrees
Space group R-3m (No. 166, hexagonal axes)
Symmetry-distinct sites (fractional):
Pr  0.0000  0.0000  0.1321 (multiplicity 6)
Ni  0.0000  0.0000  0.3328 (multiplicity 6)
Ni  0.0000  0.0000  0.5000 (multiplicity 3)
Ni  0.0010  0.5005  0.0784 (multiplicity 18)
Ir  0.0000  0.0000  0.0000 (multiplicity 3)

Results
Its total energy is -5.874 eV/atom. Its crystal system is trigonal. The value obtained for the magnetization is 4.26 μB per formula unit. The calculation puts the formation energy at -0.003 eV per atom.

***

Compound: Pr2NiIr
Source: Alexandria
Functional: PBE-GGA
Structure: relaxed

Cell lengths 4.0087, 4.0087, 25.9774 Å; angles 90.00, 90.00, 120.00 degrees
Space group R-3m (No. 166, hexagonal axes)
Symmetry-distinct sites (fractional):
Pr  0.0000  0.0000  0.1024 (multiplicity 6)
Ni  0.0000  0.0000  0.0000 (multiplicity 3)
Ir  0.0000  0.0000  0.5000 (multiplicity 3)

Results
Its total energy is -5.805 eV/atom. Its crystal system is trigonal. The value obtained for the magnetization is 0.00 μB per formula unit. The calculation puts the formation energy at 0.245 eV per atom.

***

Compound: PrNi6Ir2
Source: Alexandria
Functional: PBE-GGA
Structure: relaxed

Cell lengths 4.9519, 4.9519, 6.6228 Å; angles 90.00, 90.00, 120.00 degrees
Space group P6/mmm (No. 191)
Symmetry-distinct sites (fractional):
Pr  0.0000  0.0000  0.0000 (multiplicity 1)
Ni  0.0000  0.5000  0.1931 (multiplicity 6)
Ir  0.3333  0.6667  0.5000 (multiplicity 2)

Results
Its total energy is -6.145 eV/atom. Its crystal system is hexagonal. The value obtained for the magnetization is 0.00 μB per formula unit. The calculation puts the formation energy at 0.209 eV per atom.

***

Compound: Pr3NiIr8
Source: Alexandria
Functional: PBE-GGA
Structure: relaxed

Cell lengths 5.4053, 5.4053, 26.4628 Å; angles 90.00, 90.00, 120.00 degrees
Space group R3m (No. 160, hexagonal axes)
Symmetry-distinct sites (fractional):
Pr  0.0000  0.0000  0.0000 (multiplicity 3)
Pr  0.0000  0.0000  0.1297 (multiplicity 3)
Pr  0.0000  0.0000  0.6137 (multiplicity 3)
Ni  0.0000  0.0000  0.4750 (multiplicity 3)
Ir  0.0000  0.0000  0.3125 (multiplicity 3)
Ir  0.0000  0.0000  0.8141 (multiplicity 3)
Ir  0.1673  0.3346  0.3971 (multiplicity 9)
Ir  0.1674  0.3349  0.8945 (multiplicity 9)

Results
Its total energy is -7.963 eV/atom. Its crystal system is trigonal. The value obtained for the magnetization is 0.74 μB per formula unit. The calculation puts the formation energy at -0.379 eV per atom.